Entry 1:
Density functional theory data (PBE) for an optimized crystal structure of Rb2LuAuCl6.

```
10
Lattice="0.000 5.335 5.335 5.335 0.000 5.335 5.335 5.335 0.000" Properties=species:S:1:pos:R:3 pbc="T T T"
Rb 2.667 2.667 2.667
Rb 8.002 8.002 8.002
Lu 0.000 0.000 0.000
Au 5.335 5.335 5.335
Cl 5.335 5.335 2.579
Cl 5.335 2.579 5.335
Cl 8.090 5.335 5.335
Cl 2.579 5.335 5.335
Cl 5.335 8.090 5.335
Cl 5.335 5.335 8.090
```

Output
formation energy (no corrections): -162 kJ/mol of atoms
space-group type: Fm-3m (225)
calculated total energy: -37.6 eV for the cell shown

Entry 2:
Density functional theory data (PBE) for an optimized crystal structure of Ti3Al2Ni4.

```
9
Lattice="4.167 0.000 0.000 -2.084 3.609 0.000 0.000 0.000 7.939" Properties=species:S:1:pos:R:3 pbc="T T T"
Ti 0.000 0.000 0.000
Ti 0.000 2.406 3.339
Ti 2.084 1.203 4.600
Al 0.000 2.406 6.209
Al 2.084 1.203 1.730
Ni 0.000 0.000 2.661
Ni 0.000 0.000 5.278
Ni 0.000 2.406 0.734
Ni 2.084 1.203 7.205
```

Output
space-group type: P-3m1 (164)
calculated total energy: -59.2 eV for the cell shown
E_form: -0.542 eV per atom

Entry 3:
Density functional theory data (PBE) for an optimized crystal structure of TeWSe2.

```
4
Lattice="0.000 3.387 3.387 3.387 0.000 3.387 3.387 3.387 0.000" Properties=species:S:1:pos:R:3 pbc="T T T"
Te 0.000 0.000 0.000
W 1.693 1.693 1.693
Se 3.387 3.387 3.387
Se 5.080 5.080 5.080
```

Output
formation energy (no corrections): 71 kJ/mol of atoms
space-group type: F-43m (216)
calculated total energy: -20.1 eV for the cell shown

Entry 4:
Density functional theory data (PBE) for an optimized crystal structure of Ca3SmPd8.

```
12
Lattice="2.746 1.585 8.909 -2.746 1.585 8.909 0.000 -3.171 8.909" Properties=species:S:1:pos:R:3 pbc="T T T"
Ca 0.000 0.000 0.000
Ca 0.000 0.000 3.304
Ca 0.000 0.000 16.801
Sm 0.000 0.000 13.408
Pd 0.000 -1.578 6.134
Pd -1.366 0.789 6.134
Pd -1.367 -0.789 10.629
Pd 0.000 0.000 8.382
Pd 1.366 0.789 6.134
Pd 1.367 -0.790 10.629
Pd 0.000 1.579 10.629
Pd 0.000 0.000 21.743
```

Output
space-group type: R3m (160)
calculated total energy: -60.9 eV for the cell shown
E_form: -0.715 eV per atom

Entry 5:
Density functional theory data (PBE) for an optimized crystal structure of Y2FeRu.

```
4
Lattice="3.424 -3.421 0.000 3.424 3.421 0.000 -0.008 0.000 3.421" Properties=species:S:1:pos:R:3 pbc="T T T"
Y 1.712 1.710 0.000
Y 1.712 -1.710 0.000
Fe -0.004 0.000 1.711
Ru 3.420 0.000 1.711
```

Output
space-group type: C2/m (12)
calculated total energy: -30.8 eV for the cell shown
E_form: -0.037 eV per atom

Entry 6:
Density functional theory data (PBE) for an optimized crystal structure of PrGa3Ru3.

```
14
Lattice="6.713 0.000 0.000 0.000 6.713 0.000 0.000 0.000 6.713" Properties=species:S:1:pos:R:3 pbc="T T T"
Pr 0.000 0.000 0.000
Pr 3.357 3.357 3.357
Ga 0.000 1.678 3.357
Ga 0.000 5.035 3.357
Ga 1.678 3.357 0.000
Ga 3.357 0.000 1.678
Ga 3.357 0.000 5.035
Ga 5.035 3.357 0.000
Ru 0.000 3.357 1.678
Ru 0.000 3.357 5.035
Ru 1.678 0.000 3.357
Ru 3.357 1.678 0.000
Ru 3.357 5.035 0.000
Ru 5.035 0.000 3.357
```

Output
space-group type: Pm-3n (223)
calculated total energy: -80.1 eV for the cell shown
E_form: 0.235 eV per atom